Here is CdSbPb2 after structural relaxation from Alexandria via LeMat-Bulk. Energies are from PBE-GGA.

Unit cell a=4.3954 b=5.3546 c=9.7880 alpha=90.00 beta=90.00 gamma=90.00
Closest atoms and distances in Å follow each position.
Fractional coordinates of all 8 atoms:
1 Cd 0.0000 0.0000 0.0000  4 Sb 3.10-3.46, 2 Pb 3.21, 4 Cd 3.46
2 Cd 0.5000 0.5000 0.0000  4 Sb 3.10-3.46, 2 Pb 3.21, 4 Cd 3.46
3 Sb 0.0000 0.5000 0.2240  4 Cd 3.10-3.46, 2 Pb 3.38, 4 Sb 3.46
4 Sb 0.5000 0.0000 0.2240  4 Cd 3.10-3.46, 2 Pb 3.38, 4 Sb 3.46
5 Pb 0.0000 0.0000 0.4869  4 Sb 3.38-3.71, 8 Pb 3.46-3.79
6 Pb 0.0000 0.5000 0.7604  4 Cd 3.21-3.56, 6 Pb 3.46
7 Pb 0.5000 0.0000 0.7604  4 Cd 3.21-3.56, 6 Pb 3.46
8 Pb 0.5000 0.5000 0.4869  4 Sb 3.38-3.71, 8 Pb 3.46-3.79

Output
- Space group: Cmm2, No. 35
- Calculated volume: 115 Å³/f.u.
- Raw formation energy: 0.09 eV/atom
- DOS at the Fermi energy: 0.524 states/eV/atom
- Total energy: -24.19 eV per cell